Crystalline Zn2Ga2Pb at its relaxed geometry. Source: Alexandria via LeMat-Bulk, functional PBEsol.

Cell: 4.0993 4.0993 6.3785 Å, 108.74 108.74 90.00°
With the nearest neighbours (Å) after each atom.
Fractional positions:
Ga  0.6112  0.6112  0.2224  1 Ga 2.53, 4 Zn 2.59
Ga  0.3888  0.3888  0.7776  1 Ga 2.53, 4 Zn 2.59
Pb  0.0000  0.0000  0.0000  8 Ga 3.16, 8 Zn 3.50
Zn  0.2500  0.7500  0.5000  4 Ga 2.59
Zn  0.7500  0.2500  0.5000  4 Ga 2.59

Calculated values
total magnetization = 0.0 μB/f.u.
V = 19.10 Å³/atom
energy = -2.72 eV per atom

=====

Crystalline AgSb2 at its relaxed geometry. Source: Alexandria via LeMat-Bulk, functional PBEsol.

Cell: 4.9549 4.9549 6.6284 Å, 90.00 90.00 120.00°
With the nearest neighbours (Å) after each atom.
Fractional positions:
Ag  0.6667  0.3333  0.7500  3 Sb 2.86
Ag  0.3333  0.6667  0.2500  3 Sb 2.86
Sb  0.6667  0.3333  0.2500  3 Ag 2.86
Sb  0.3333  0.6667  0.7500  3 Ag 2.86
Sb  0.0000  0.0000  0.0000  8 Sb 3.31, 6 Ag 3.31
Sb  0.0000  0.0000  0.5000  8 Sb 3.31, 6 Ag 3.31

Calculated values
total magnetization = 0.0 μB/f.u.
V = 23.49 Å³/atom
energy = -3.89 eV per atom

=====

Crystalline Ba2SiAu at its relaxed geometry. Source: Alexandria via LeMat-Bulk, functional PBEsol.

Cell: 4.4308 4.4308 9.0916 Å, 75.90 75.90 60.00°
With the nearest neighbours (Å) after each atom.
Fractional positions:
Si  0.5420  0.5420  0.3741  3 Au 2.56
Ba  0.7912  0.7912  0.6264  3 Au 3.37, 3 Si 3.37
Ba  0.9586  0.9586  0.1241  3 Si 3.36, 3 Au 3.37
Au  0.2082  0.2082  0.3754  3 Si 2.56

Calculated values
total magnetization = 0.0 μB/f.u.
V = 37.08 Å³/atom
energy = -4.00 eV per atom

=====

Crystalline KAgBr2 at its relaxed geometry. Source: Alexandria via LeMat-Bulk, functional PBEsol.

Cell: 4.1435 5.3805 5.3798 Å, 90.00 90.57 90.00°
With the nearest neighbours (Å) after each atom.
Fractional positions:
K  0.4994  0.0000  0.3773  8 Br 3.28-3.54
Ag  0.0015  0.5000  0.8741  4 Br 2.70
Br  0.0437  0.0000  0.8747  2 Ag 2.70
Br  0.9555  0.5000  0.3737  2 Ag 2.70

Calculated values
total magnetization = 0.0 μB/f.u.
V = 29.98 Å³/atom
energy = -2.99 eV per atom

=====

Crystalline ZnFe2Os at its relaxed geometry. Source: Alexandria via LeMat-Bulk, functional PBEsol.

Cell: 3.6418 3.6418 4.4353 Å, 114.24 114.24 90.00°
With the nearest neighbours (Å) after each atom.
Fractional positions:
Fe  0.7500  0.2500  0.5000  4 Os 2.56, 4 Zn 2.56, 4 Fe 2.58
Fe  0.2500  0.7500  0.5000  4 Os 2.56, 4 Zn 2.56, 4 Fe 2.58
Zn  0.0000  0.0000  0.0000  8 Fe 2.56, 4 Os 2.58
Os  0.5000  0.5000  0.0000  8 Fe 2.56, 4 Zn 2.58

Calculated values
total magnetization = 3.5 μB/f.u.
V = 11.97 Å³/atom
energy = -7.72 eV per atom

=====

Crystalline FeSbIr2 at its relaxed geometry. Source: Alexandria via LeMat-Bulk, functional PBEsol.

Cell: 2.9253 3.8792 5.4142 Å, 90.00 90.00 90.00°
With the nearest neighbours (Å) after each atom.
Fractional positions:
Ir  0.9997  0.0000  0.9634  4 Fe 2.60, 2 Sb 2.61-2.80
Ir  0.5005  0.5000  0.2619  1 Fe 2.54, 4 Sb 2.70
Sb  0.0003  0.0000  0.4812  6 Ir 2.61-2.80
Fe  0.4996  0.5000  0.7935  5 Ir 2.54-2.60

Calculated values
total magnetization = 3.3 μB/f.u.
V = 15.36 Å³/atom
energy = -8.05 eV per atom

=====

Crystalline Tb3Al5O12 at its relaxed geometry. Source: Alexandria via LeMat-Bulk, functional PBEsol.

Cell: 10.4064 10.4064 10.4064 Å, 109.47 109.47 109.47°
With the nearest neighbours (Å) after each atom.
Fractional positions:
Al  0.5000  0.5000  0.0000  6 O 1.93
Al  0.0000  0.0000  0.5000  6 O 1.93
Al  0.0000  0.5000  0.5000  6 O 1.93
Al  0.5000  0.0000  0.5000  6 O 1.93
Al  0.7500  0.6250  0.8750  4 O 1.77
Al  0.2500  0.3750  0.1250  4 O 1.77
Al  0.8750  0.7500  0.6250  4 O 1.77
Al  0.6250  0.2500  0.8750  4 O 1.77
Al  0.1250  0.2500  0.3750  4 O 1.77
Al  0.7500  0.1250  0.3750  4 O 1.77
Al  0.3750  0.7500  0.1250  4 O 1.77
Al  0.2500  0.8750  0.6250  4 O 1.77
Al  0.5000  0.5000  0.5000  6 O 1.93
Al  0.5000  0.0000  0.0000  6 O 1.93
Al  0.3750  0.6250  0.7500  4 O 1.77
Al  0.1250  0.8750  0.2500  4 O 1.77
Al  0.6250  0.3750  0.2500  4 O 1.77
Al  0.8750  0.1250  0.7500  4 O 1.77
Al  0.0000  0.0000  0.0000  6 O 1.93
Al  0.0000  0.5000  0.0000  6 O 1.93
O  0.9025  0.5818  0.8818  2 Al 1.77-1.93
O  0.5975  0.1182  0.4182  2 Al 1.77-1.93
O  0.3207  0.0207  0.4025  2 Al 1.77-1.93
O  0.6793  0.7000  0.5818  2 Al 1.77-1.93
O  0.8000  0.8207  0.9182  2 Al 1.77-1.93
O  0.9025  0.3207  0.5207  2 Al 1.77-1.93
O  0.9793  0.0975  0.1793  2 Al 1.77-1.93
O  0.4793  0.1793  0.0975  2 Al 1.77-1.93
O  0.8207  0.4025  0.0207  2 Al 1.77-1.93
O  0.1793  0.5818  0.7000  2 Al 1.77-1.93
O  0.8000  0.9793  0.3818  2 Al 1.77-1.93
O  0.8818  0.0818  0.9025  2 Al 1.77-1.93
O  0.4025  0.8818  0.5818  2 Al 1.77-1.93
O  0.2000  0.0207  0.6182  2 Al 1.77-1.93
O  0.9182  0.5975  0.6182  2 Al 1.77-1.93
O  0.4793  0.3000  0.8818  2 Al 1.77-1.93
O  0.3000  0.3818  0.9793  2 Al 1.77-1.93
O  0.3818  0.4793  0.8000  2 Al 1.77-1.93
O  0.7000  0.6182  0.0207  2 Al 1.77-1.93
O  0.4025  0.5207  0.3207  2 Al 1.77-1.93
O  0.1182  0.9182  0.0975  2 Al 1.77-1.93
O  0.1182  0.2000  0.5207  2 Al 1.77-1.93
O  0.3818  0.9025  0.0818  2 Al 1.77-1.93
O  0.5818  0.2000  0.6793  2 Al 1.77-1.93
O  0.8207  0.4182  0.3000  2 Al 1.77-1.93
O  0.3000  0.9182  0.8207  2 Al 1.77-1.93
O  0.0207  0.9025  0.8207  2 Al 1.77-1.93
O  0.7000  0.0818  0.1793  2 Al 1.77-1.93
O  0.4182  0.8000  0.3207  2 Al 1.77-1.93
O  0.4182  0.6182  0.5975  2 Al 1.77-1.93
O  0.1793  0.5975  0.9793  2 Al 1.77-1.93
O  0.9182  0.3207  0.8000  2 Al 1.77-1.93
O  0.2000  0.1793  0.0818  2 Al 1.77-1.93
O  0.6793  0.9793  0.5975  2 Al 1.77-1.93
O  0.5207  0.7000  0.1182  2 Al 1.77-1.93
O  0.9793  0.8818  0.3000  2 Al 1.77-1.93
O  0.3207  0.3000  0.4182  2 Al 1.77-1.93
O  0.0818  0.4025  0.3818  2 Al 1.77-1.93
O  0.5975  0.4793  0.6793  2 Al 1.77-1.93
O  0.0818  0.6793  0.2000  2 Al 1.77-1.93
O  0.5818  0.3818  0.4025  2 Al 1.77-1.93
O  0.0975  0.4182  0.1182  2 Al 1.77-1.93
O  0.8818  0.8000  0.4793  2 Al 1.77-1.93
O  0.6182  0.0975  0.9182  2 Al 1.77-1.93
O  0.0975  0.6793  0.4793  2 Al 1.77-1.93
O  0.6182  0.5207  0.2000  2 Al 1.77-1.93
O  0.0207  0.1182  0.7000  2 Al 1.77-1.93
O  0.5207  0.8207  0.9025  2 Al 1.77-1.93
Tb  0.1250  0.7500  0.8750  8 O 2.31-2.43
Tb  0.3750  0.2500  0.6250  8 O 2.31-2.43
Tb  0.1250  0.3750  0.7500  8 O 2.31-2.43
Tb  0.8750  0.6250  0.2500  8 O 2.31-2.43
Tb  0.8750  0.2500  0.1250  8 O 2.31-2.43
Tb  0.3750  0.1250  0.2500  8 O 2.31-2.43
Tb  0.6250  0.7500  0.3750  8 O 2.31-2.43
Tb  0.6250  0.8750  0.7500  8 O 2.31-2.43
Tb  0.2500  0.1250  0.8750  8 O 2.31-2.43
Tb  0.7500  0.3750  0.6250  8 O 2.31-2.43
Tb  0.2500  0.6250  0.3750  8 O 2.31-2.43
Tb  0.7500  0.8750  0.1250  8 O 2.31-2.43

Calculated values
total magnetization = 0.0 μB/f.u.
V = 10.84 Å³/atom
energy = -8.25 eV per atom

=====

Crystalline LaCd2Pt at its relaxed geometry. Source: Alexandria via LeMat-Bulk, functional PBEsol.

Cell: 3.1528 3.1528 10.1059 Å, 81.03 81.03 60.00°
With the nearest neighbours (Å) after each atom.
Fractional positions:
Pt  0.0000  0.0000  0.0000  6 Cd 2.79
Cd  0.2626  0.2626  0.2121  3 Pt 2.79
Cd  0.7374  0.7374  0.7879  3 Pt 2.79
La  0.5000  0.5000  0.5000  6 La 3.15, 6 Cd 3.39

Calculated values
total magnetization = 0.0 μB/f.u.
V = 21.39 Å³/atom
energy = -3.77 eV per atom

=====

> What is the total magnetization in the fourth record?

0.0 μB/f.u.